Computed, not measured: a relaxed structure of K2Be2H7 at the PBE level of DFT.

extended XYZ file:
```
11
Lattice="-2.8623 1.7428 -0.6962 -2.0054 -4.6431 -3.3804 -1.9810 -0.9889 5.6662" Properties=species:S:1:pos:R:3 pbc="T T T"
K -3.4183 -1.0378 3.0397
K -3.4304 -2.8514 -1.4502
Be -3.1905 -4.5057 1.8286
Be -3.6582 0.6164 -0.2391
H -2.9049 -3.6158 2.8861
H -3.9372 0.7112 1.1411
H -3.9438 -0.2734 -1.2966
H -2.9114 -4.6005 0.4485
H -2.3047 -0.3634 0.1530
H 0.0000 0.0000 0.0000
H -4.5440 -3.5258 1.4365
```

Values from the calculation:
Final energy (eV per cell): -33.528
Magnetic moment (Bohr magnetons per cell): 0.0
V (Å³ per atom): 11.03